No. 1
# LaCdPt2 (GGA-PBEsol, relaxed)
# DOS(E_F)   2.85 states/eV/cell
# Calculated total energy   -5.87 eV per atom
data_LaCdPt2
_space_group_name_H-M_alt 'A m m 2'
_space_group_IT_number 38
_space_group_name_Hall 'A 2 -2'
_cell_length_a 4.202
_cell_length_b 3.893
_cell_length_c 10.346
_cell_angle_alpha 90.00
_cell_angle_beta 90.00
_cell_angle_gamma 90.00
loop_
_atom_site_label
_atom_site_fract_x
_atom_site_fract_y
_atom_site_fract_z
La1 0.000 0.000 0.000
Cd1 0.500 0.000 0.710
Pt1 0.000 0.000 0.269
Pt2 0.500 0.000 0.435

No. 2
# La4CdPt (GGA-PBEsol, relaxed)
# DOS(E_F)   90.00 states/eV/cell
# Calculated total energy   -5.45 eV per atom
data_La4CdPt
_space_group_name_H-M_alt 'F -4 3 m'
_space_group_IT_number 216
_space_group_name_Hall 'F -4 2 3'
_cell_length_a 14.144
_cell_length_b 14.144
_cell_length_c 14.144
_cell_angle_alpha 90.00
_cell_angle_beta 90.00
_cell_angle_gamma 90.00
loop_
_atom_site_label
_atom_site_fract_x
_atom_site_fract_y
_atom_site_fract_z
La1 0.000 0.000 0.188
La2 0.055 0.250 0.250
La3 0.100 0.100 0.600
Cd1 0.171 0.171 0.829
Pt1 0.107 0.107 0.393

No. 3
# LaCd2Pt2 (GGA-PBEsol, relaxed)
# DOS(E_F)   4.55 states/eV/cell
# Polymorph energy (0 for the lowest one)   0 meV per atom
data_LaCd2Pt2
_space_group_name_H-M_alt 'I 4/m m m'
_space_group_IT_number 139
_space_group_name_Hall '-I 4 2'
_cell_length_a 4.050
_cell_length_b 4.050
_cell_length_c 12.965
_cell_angle_alpha 90.00
_cell_angle_beta 90.00
_cell_angle_gamma 90.00
loop_
_atom_site_label
_atom_site_fract_x
_atom_site_fract_y
_atom_site_fract_z
La1 0.000 0.000 0.000
Cd1 0.000 0.500 0.250
Pt1 0.000 0.000 0.399